No. 1
Computed, not measured: a relaxed structure of Ta2MnAu at the GGA-PBE level of DFT.

## Properties
- V: 16.48 Å³/atom
- Magnetization: 2.0 μB per cell
- Energy above the most stable polymorph in this dataset: 0.095 eV/atom
- DOS at the Fermi energy: 3.7 states/eV per cell

Cell lengths 3.9733, 3.9733, 4.1760 Å; angles 90.00, 90.00, 90.00 degrees
Space group P4/mmm (No. 123)
Unique sites:
Ta  0.0000  0.5000  0.0000 (multiplicity 2)
Mn  0.0000  0.0000  0.5000 (multiplicity 1)
Au  0.5000  0.5000  0.5000 (multiplicity 1)


No. 2
Computed, not measured: a relaxed structure of TaMnW2Au at the GGA-PBE level of DFT.

## Properties
- V: 21.14 Å³/atom
- Magnetization: 2.2 μB per cell
- Final energy: -8.048 eV per atom
- DOS at the Fermi energy: 4.4 states/eV per cell

Cell lengths 4.7646, 4.7646, 4.6555 Å; angles 90.00, 90.00, 90.00 degrees
Space group P4/mmm (No. 123)
Unique sites:
Ta  0.0000  0.0000  0.0000 (multiplicity 1)
Mn  0.0000  0.0000  0.5000 (multiplicity 1)
W  0.0000  0.5000  0.0000 (multiplicity 2)
Au  0.5000  0.5000  0.5000 (multiplicity 1)


No. 3
Computed, not measured: a relaxed structure of TbTmMnAu at the GGA-PBE level of DFT.

## Properties
- V: 22.61 Å³/atom
- Magnetization: 13.9 μB per cell
- Final energy: -5.652 eV per atom
- DOS at the Fermi energy: 21.1 states/eV per cell

Cell lengths 7.1257, 7.1257, 7.1257 Å; angles 90.00, 90.00, 90.00 degrees
Space group F-43m (No. 216)
Unique sites:
Tb  0.0000  0.0000  0.0000 (multiplicity 4)
Tm  0.0000  0.0000  0.5000 (multiplicity 4)
Mn  0.2500  0.2500  0.7500 (multiplicity 4)
Au  0.2500  0.2500  0.2500 (multiplicity 4)


No. 4
Computed, not measured: a relaxed structure of TbYMnAu at the GGA-PBE level of DFT.

## Properties
- V: 23.19 Å³/atom
- Magnetization: 13.7 μB per cell
- Final energy: -6.135 eV per atom
- DOS at the Fermi energy: 21.9 states/eV per cell

Cell lengths 7.1854, 7.1854, 7.1854 Å; angles 90.00, 90.00, 90.00 degrees
Space group F-43m (No. 216)
Unique sites:
Tb  0.0000  0.0000  0.0000 (multiplicity 4)
Y  0.0000  0.0000  0.5000 (multiplicity 4)
Mn  0.2500  0.2500  0.7500 (multiplicity 4)
Au  0.2500  0.2500  0.2500 (multiplicity 4)


No. 5
Computed, not measured: a relaxed structure of Mn2Tc2Au at the GGA-PBE level of DFT.

## Properties
- V: 13.88 Å³/atom
- Magnetization: 0.0 μB per cell
- Final energy: -8.279 eV per atom
- DOS at the Fermi energy: 9.5 states/eV per cell

Cell lengths 7.1107, 7.1107, 2.7459 Å; angles 90.00, 90.00, 90.00 degrees
Space group P4/mbm (No. 127)
Unique sites:
Mn  0.1283  0.3717  0.0000 (multiplicity 4)
Tc  0.1625  0.6625  0.5000 (multiplicity 4)
Au  0.0000  0.0000  0.0000 (multiplicity 2)


No. 6
Computed, not measured: a relaxed structure of MnTcAu2 at the GGA-PBE level of DFT.

## Properties
- V: 16.27 Å³/atom
- Magnetization: 2.6 μB per cell
- Energy above the most stable polymorph in this dataset: 0.187 eV/atom
- DOS at the Fermi energy: 6.8 states/eV per cell

Cell lengths 4.0378, 4.0378, 3.9913 Å; angles 90.00, 90.00, 90.00 degrees
Space group P4/mmm (No. 123)
Unique sites:
Mn  0.0000  0.0000  0.0000 (multiplicity 1)
Tc  0.5000  0.5000  0.0000 (multiplicity 1)
Au  0.0000  0.5000  0.5000 (multiplicity 2)


Question: Which of these has the highest magnetization?
Answer: TbTmMnAu


Question: The highest magnetization belongs to which entry?
Answer: TbTmMnAu


Question: The lowest V belongs to which entry?
Answer: Mn2Tc2Au


Question: What is the formula in the second record?
Answer: TaMnW2Au